1.
CoB3F | GGA+U | optimized geometry

Its distance to the lowest polymorph of the same formula is 6.13 eV/f.u. Its uncorrected energy is -17.11 eV for the cell shown.

It has space group Pm-3m (No. 221), with a = 3.648 Å, b = 3.648 Å, c = 3.648 Å, α = 90.00°, β = 90.00° and γ = 90.00°. The inequivalent atoms are Co at (0.000, 0.000, 0.000), B at (0.000, 0.500, 0.500) and F at (0.500, 0.500, 0.500).

2.
CoB2F | GGA+U | optimized geometry

Its distance to the lowest polymorph of the same formula is 0.00 eV/f.u. Its uncorrected energy is -70.66 eV for the cell shown.

It has space group I-42d (No. 122), with a = 4.737 Å, b = 4.737 Å, c = 7.013 Å, α = 90.00°, β = 90.00° and γ = 90.00°. The inequivalent atoms are Co at (0.000, 0.000, 0.000), B at (0.237, 0.250, 0.125) and F at (0.000, 0.000, 0.500).

3.
Co2BF | GGA+U | optimized geometry

Its distance to the lowest polymorph of the same formula is 0.00 eV/f.u. Its uncorrected energy is -74.54 eV for the cell shown.

It has space group I-42d (No. 122), with a = 5.390 Å, b = 5.390 Å, c = 6.299 Å, α = 90.00°, β = 90.00° and γ = 90.00°. The inequivalent atoms are Co at (0.232, 0.250, 0.125), B at (0.000, 0.000, 0.000) and F at (0.000, 0.000, 0.500).